(1)
DFT (PBE-GGA) results for IrRhI2O after structural relaxation.

## Properties
Formation energy without anion corrections: 0.662 eV per atom
DFT total energy: -4.1926 eV per atom
Offset from the most stable computed form: 21.7 kJ/mol of atoms
Space-group type: P4/mmm (123)
Crystal system: tetragonal
M_tot: 0.000 μB per formula unit

Cell: 5.4329 5.4329 3.6484 Å, 90.00 90.00 90.00°
Closest atoms and distances in Å follow each position.
Fractional positions:
Ir (0.0000, 0.0000, 0.0000)  8 I 3.27, 2 Ir 3.65
Rh (0.5000, 0.5000, 0.5000)  2 O 1.82
I (0.0000, 0.5000, 0.5000)  2 Rh 2.72
I (0.5000, 0.0000, 0.5000)  2 Rh 2.72
O (0.5000, 0.5000, 0.0000)  2 Rh 1.82

(2)
DFT (PBE-GGA) results for OsW4 after structural relaxation.

## Properties
DFT total energy: -10.3882 eV per atom
ΔH_f (0 K): 2220 meV/atom
Offset from the most stable computed form: 201.9 kJ/mol of atoms
Space-group type: Pm-3m (221)
Crystal system: cubic
M_tot: 0.001 μB per formula unit

Cell: 4.6806 4.6806 4.6806 Å, 90.00 90.00 90.00°
Closest atoms and distances in Å follow each position.
Fractional positions:
Os (0.0000, 0.0000, 0.0000)  6 W 2.34
W (0.0000, 0.0000, 0.5000)  2 Os 2.34
W (0.0000, 0.5000, 0.0000)  2 Os 2.34
W (0.5000, 0.0000, 0.0000)  2 Os 2.34
W (0.5000, 0.5000, 0.5000)  12 W 3.31